No. 1
## GdGaGe (PBE)

Data for a geometry-optimized GdGaGe structure.

```
GdGaGe
1.0
4.162 0.000 0.000
-2.081 3.604 0.000
0.000 0.000 4.299
Gd Ga Ge
1 1 1
Direct
0.000 0.000 0.000 Gd
0.333 0.667 0.408 Ga
0.667 0.333 0.580 Ge
```

Relative energy among the computed polymorphs in eV per formula unit: 0.000

No. 2
## Gd2GaGe (PBE)

Data for a geometry-optimized Gd2GaGe structure.

```
Gd2GaGe
1.0
4.043 0.000 0.000
0.000 2.169 5.464
0.000 -2.169 5.464
Gd Ga Ge
2 1 1
Direct
0.000 0.000 0.000 Gd
0.500 0.281 0.281 Gd
0.500 0.563 0.563 Ga
0.000 0.718 0.718 Ge
```

Energy in eV per formula unit: -20.13

No. 3
## GdGa2Ge2 (PBE)

Data for a geometry-optimized GdGa2Ge2 structure.

```
GdGa2Ge2
1.0
-2.190 2.190 5.483
2.190 -2.190 5.483
2.190 2.190 -5.483
Gd Ga Ge
1 2 2
Direct
0.000 0.000 0.000 Gd
0.388 0.388 0.000 Ga
0.612 0.612 0.000 Ga
0.250 0.750 0.500 Ge
0.750 0.250 0.500 Ge
```

Energy in eV per formula unit: -20.81

No. 4
## GdGaGe (PBE)

Data for a geometry-optimized GdGaGe structure.

```
GdGaGe
1.0
7.265 0.000 0.000
-3.632 6.291 0.000
0.000 0.000 4.173
Gd Ga Ge
3 3 3
Direct
0.000 0.386 0.000 Gd
0.386 0.000 0.000 Gd
0.614 0.614 0.000 Gd
0.000 0.732 0.500 Ga
0.268 0.268 0.500 Ga
0.732 0.000 0.500 Ga
0.000 0.000 0.000 Ge
0.333 0.667 0.500 Ge
0.667 0.333 0.500 Ge
```

Relative energy among the computed polymorphs in eV per formula unit: 0.240

No. 5
## Gd2HoGa3NiGe2 (PBE)

Data for a geometry-optimized Gd2HoGa3NiGe2 structure.

```
Gd2HoGa3NiGe2
1.0
4.172 0.000 0.000
0.000 6.058 3.508
0.000 -6.058 3.508
Gd Ho Ga Ni Ge
2 1 3 1 2
Direct
0.000 0.200 0.800 Gd
0.000 0.800 0.200 Gd
0.000 0.599 0.599 Ho
0.500 0.202 0.430 Ga
0.500 0.430 0.202 Ga
0.500 0.971 0.971 Ga
0.000 0.203 0.203 Ni
0.500 0.534 0.864 Ge
0.500 0.864 0.534 Ge
```

Energy in eV per formula unit: -44.28

No. 6
## GdHo2Ga3NiGe2 (PBE)

Data for a geometry-optimized GdHo2Ga3NiGe2 structure.

```
GdHo2Ga3NiGe2
1.0
4.151 0.000 0.000
0.000 6.055 3.486
0.000 -6.055 3.486
Gd Ho Ga Ni Ge
1 2 3 1 2
Direct
0.000 0.000 0.000 Gd
0.000 0.201 0.600 Ho
0.000 0.600 0.201 Ho
0.500 0.371 0.371 Ga
0.500 0.599 0.829 Ga
0.500 0.829 0.599 Ga
0.000 0.598 0.598 Ni
0.500 0.268 0.932 Ge
0.500 0.932 0.268 Ge
```

Energy in eV per formula unit: -44.19

No. 7
## Gd3InGa2Ge2Pt (PBE)

Data for a geometry-optimized Gd3InGa2Ge2Pt structure.

```
Gd3InGa2Ge2Pt
1.0
4.282 0.000 0.000
0.000 6.137 3.638
0.000 -6.137 3.638
Gd In Ga Ge Pt
3 1 2 2 1
Direct
0.000 0.000 0.000 Gd
0.000 0.181 0.595 Gd
0.000 0.595 0.181 Gd
0.500 0.353 0.353 In
0.500 0.595 0.832 Ga
0.500 0.832 0.595 Ga
0.500 0.261 0.919 Ge
0.500 0.919 0.261 Ge
0.000 0.607 0.607 Pt
```

Energy in eV per formula unit: -45.28

No. 8
## Gd3Ga3Ni2Ge (PBE)

Data for a geometry-optimized Gd3Ga3Ni2Ge structure.

```
Gd3Ga3Ni2Ge
1.0
7.907 0.000 0.000
-3.954 6.848 0.000
0.000 0.000 3.302
Gd Ga Ni Ge
3 3 2 1
Direct
0.000 0.309 0.000 Gd
0.309 0.000 0.000 Gd
0.691 0.691 0.000 Gd
0.000 0.627 0.500 Ga
0.373 0.373 0.500 Ga
0.627 0.000 0.500 Ga
0.333 0.667 0.000 Ni
0.667 0.333 0.000 Ni
0.000 0.000 0.500 Ge
```

Relative energy among the computed polymorphs in eV per formula unit: 3.141

No. 9
## Gd4GaNi2Ge4 (PBE)

Data for a geometry-optimized Gd4GaNi2Ge4 structure.

```
Gd4GaNi2Ge4
1.0
7.745 -2.133 0.000
7.745 2.133 0.000
-2.193 0.000 6.670
Gd Ga Ni Ge
4 1 2 4
Direct
0.090 0.090 0.385 Gd
0.153 0.153 0.941 Gd
0.847 0.847 0.059 Gd
0.910 0.910 0.615 Gd
0.500 0.500 0.000 Ga
0.284 0.284 0.354 Ni
0.716 0.716 0.646 Ni
0.294 0.294 0.723 Ge
0.436 0.436 0.335 Ge
0.564 0.564 0.665 Ge
0.706 0.706 0.277 Ge
```

Energy in eV per formula unit: -59.88

No. 10
## Gd3Ga3Ni2Ge (PBE)

Data for a geometry-optimized Gd3Ga3Ni2Ge structure.

```
Gd3Ga3Ni2Ge
1.0
7.292 0.000 0.000
-3.646 6.315 0.000
0.000 0.000 3.784
Gd Ga Ni Ge
3 3 2 1
Direct
0.000 0.600 0.000 Gd
0.400 0.400 0.000 Gd
0.600 0.000 0.000 Gd
0.000 0.276 0.500 Ga
0.276 0.000 0.500 Ga
0.724 0.724 0.500 Ga
0.333 0.667 0.500 Ni
0.667 0.333 0.500 Ni
0.000 0.000 0.000 Ge
```

Relative energy among the computed polymorphs in eV per formula unit: 0.000

No. 11
## Gd2TmGa3NiGe2 (PBE)

Data for a geometry-optimized Gd2TmGa3NiGe2 structure.

```
Gd2TmGa3NiGe2
1.0
4.158 0.000 0.000
0.000 6.034 3.502
0.000 -6.034 3.502
Gd Tm Ga Ni Ge
2 1 3 1 2
Direct
0.000 0.200 0.800 Gd
0.000 0.800 0.200 Gd
0.000 0.599 0.599 Tm
0.500 0.203 0.431 Ga
0.500 0.431 0.203 Ga
0.500 0.971 0.971 Ga
0.000 0.205 0.205 Ni
0.500 0.536 0.863 Ge
0.500 0.863 0.536 Ge
```

Energy in eV per formula unit: -44.14

No. 12
## GdTm2Ga3NiGe2 (PBE)

Data for a geometry-optimized GdTm2Ga3NiGe2 structure.

```
GdTm2Ga3NiGe2
1.0
4.131 0.000 0.000
0.000 6.037 3.465
0.000 -6.037 3.465
Gd Tm Ga Ni Ge
1 2 3 1 2
Direct
0.000 0.000 0.000 Gd
0.000 0.200 0.599 Tm
0.000 0.599 0.200 Tm
0.500 0.369 0.369 Ga
0.500 0.596 0.828 Ga
0.500 0.828 0.596 Ga
0.000 0.594 0.594 Ni
0.500 0.269 0.930 Ge
0.500 0.930 0.269 Ge
```

Energy in eV per formula unit: -43.90

No. 13
## GdGaGe2O7 (PBE)

Data for a geometry-optimized GdGaGe2O7 structure.

```
GdGaGe2O7
1.0
7.127 0.000 0.000
0.000 6.576 0.000
-5.914 0.000 11.295
Gd Ga Ge O
4 4 8 28
Direct
0.238 0.145 0.475 Gd
0.238 0.355 0.975 Gd
0.762 0.645 0.025 Gd
0.762 0.855 0.525 Gd
0.210 0.100 0.731 Ga
0.210 0.400 0.231 Ga
0.790 0.600 0.769 Ga
0.790 0.900 0.269 Ga
0.218 0.658 0.460 Ge
0.218 0.842 0.960 Ge
0.298 0.588 0.724 Ge
0.298 0.912 0.224 Ge
0.702 0.088 0.776 Ge
0.702 0.412 0.276 Ge
0.782 0.158 0.040 Ge
0.782 0.342 0.540 Ge
0.010 0.660 0.926 O
0.010 0.840 0.426 O
0.147 0.688 0.185 O
0.147 0.812 0.685 O
0.212 0.054 0.875 O
0.212 0.111 0.282 O
0.212 0.389 0.782 O
0.212 0.446 0.375 O
0.257 0.004 0.081 O
0.257 0.496 0.581 O
0.412 0.670 0.980 O
0.412 0.830 0.480 O
0.428 0.124 0.688 O
0.428 0.376 0.188 O
0.572 0.624 0.812 O
0.572 0.876 0.312 O
0.588 0.170 0.520 O
0.588 0.330 0.020 O
0.743 0.504 0.419 O
0.743 0.996 0.919 O
0.788 0.554 0.625 O
0.788 0.611 0.218 O
0.788 0.889 0.718 O
0.788 0.946 0.125 O
0.853 0.188 0.315 O
0.853 0.312 0.815 O
0.990 0.160 0.574 O
0.990 0.340 0.074 O
```

Energy in eV per formula unit: -75.33

No. 14
## TbGd2Ga3Ge2Pd (PBE)

Data for a geometry-optimized TbGd2Ga3Ge2Pd structure.

```
TbGd2Ga3Ge2Pd
1.0
4.260 0.000 0.000
0.000 6.113 3.534
0.000 -6.113 3.534
Tb Gd Ga Ge Pd
1 2 3 2 1
Direct
0.000 0.000 0.000 Tb
0.000 0.180 0.590 Gd
0.000 0.590 0.180 Gd
0.500 0.354 0.354 Ga
0.500 0.591 0.827 Ga
0.500 0.827 0.591 Ga
0.500 0.256 0.924 Ge
0.500 0.924 0.256 Ge
0.000 0.592 0.592 Pd
```

Energy in eV per formula unit: -44.54

No. 15
## GdGaGePt2 (PBE)

Data for a geometry-optimized GdGaGePt2 structure.

```
GdGaGePt2
1.0
4.245 0.000 0.000
0.000 4.245 0.000
0.000 0.000 10.465
Gd Ga Ge Pt
2 2 2 4
Direct
0.250 0.250 0.249 Gd
0.750 0.750 0.751 Gd
0.250 0.750 0.000 Ga
0.750 0.250 0.000 Ga
0.250 0.250 0.634 Ge
0.750 0.750 0.366 Ge
0.250 0.250 0.864 Pt
0.250 0.750 0.500 Pt
0.750 0.250 0.500 Pt
0.750 0.750 0.136 Pt
```

Energy in eV per formula unit: -29.11

No. 16
## GdHfGa (PBE)

Data for a geometry-optimized GdHfGa structure.

```
GdHfGa
1.0
0.000 3.358 3.358
3.358 0.000 3.358
3.358 3.358 0.000
Gd Hf Ga
1 1 1
Direct
0.000 0.000 0.000 Gd
0.500 0.500 0.500 Hf
0.250 0.250 0.250 Ga
```

Relative energy among the computed polymorphs in eV per formula unit: 0.000

No. 17
## GdHfGa2Pt4 (PBE)

Data for a geometry-optimized GdHfGa2Pt4 structure.

```
GdHfGa2Pt4
1.0
4.341 0.000 0.000
-2.171 3.760 0.000
0.000 0.000 8.980
Gd Hf Ga Pt
1 1 2 4
Direct
0.000 0.000 0.000 Gd
0.667 0.333 0.500 Hf
0.333 0.667 0.251 Ga
0.333 0.667 0.749 Ga
0.000 0.000 0.348 Pt
0.000 0.000 0.652 Pt
0.667 0.333 0.177 Pt
0.667 0.333 0.823 Pt
```

Energy in eV per formula unit: -52.96

No. 18
## Gd2Ga3Hg3 (PBE)

Data for a geometry-optimized Gd2Ga3Hg3 structure.

```
Gd2Ga3Hg3
1.0
4.817 0.000 0.000
0.000 3.258 5.661
0.000 -3.258 5.661
Gd Ga Hg
2 3 3
Direct
0.000 0.000 0.000 Gd
0.500 0.334 0.334 Gd
0.000 0.507 0.507 Ga
0.500 0.353 0.809 Ga
0.500 0.809 0.353 Ga
0.000 0.493 0.986 Hg
0.000 0.986 0.493 Hg
0.500 0.827 0.827 Hg
```

Energy in eV per formula unit: -22.48

No. 19
## GdGaHg2 (PBE)

Data for a geometry-optimized GdGaHg2 structure.

```
GdGaHg2
1.0
4.921 0.000 0.000
0.000 3.325 5.624
0.000 -3.325 5.624
Gd Ga Hg
2 2 4
Direct
0.000 0.000 0.000 Gd
0.500 0.328 0.328 Gd
0.000 0.512 0.981 Ga
0.000 0.981 0.512 Ga
0.000 0.499 0.499 Hg
0.500 0.339 0.835 Hg
0.500 0.829 0.829 Hg
0.500 0.835 0.339 Hg
```

Energy in eV per formula unit: -9.79

No. 20
## Gd2Ga3Hg3 (PBE)

Data for a geometry-optimized Gd2Ga3Hg3 structure.

```
Gd2Ga3Hg3
1.0
6.581 0.000 0.000
-3.290 5.699 0.000
0.000 0.000 4.757
Gd Ga Hg
2 3 3
Direct
0.000 0.000 0.000 Gd
0.333 0.667 0.500 Gd
0.515 0.031 0.000 Ga
0.515 0.485 0.000 Ga
0.969 0.485 0.000 Ga
0.345 0.172 0.500 Hg
0.828 0.172 0.500 Hg
0.828 0.655 0.500 Hg
```

Energy in eV per formula unit: -22.48